(1)
Below is a relaxed Hf2AsP2 crystal, with properties calculated at the PBE level.

energy relative to the elements	-0.7694	eV per atom
DOS(E_F)	4.20	states/eV/cell
energy relative to the lowest polymorph listed for this composition	50	kJ/mol of formula units

```
data_Hf2AsP2
_symmetry_space_group_name_H-M 'I 4/m m m'
_symmetry_Int_Tables_number 139
_symmetry_space_group_name_Hall '-I 4 2'
_cell_length_a 3.5429
_cell_length_b 3.5429
_cell_length_c 13.9031
_cell_angle_alpha 90.00
_cell_angle_beta 90.00
_cell_angle_gamma 90.00
loop_
_atom_site_label
_atom_site_type_symbol
_atom_site_fract_x
_atom_site_fract_y
_atom_site_fract_z
Hf1 Hf 0.0000 0.0000 0.1093
As1 As 0.0000 0.0000 0.5000
P1 P 0.0000 0.5000 0.2500
```

***

(2)
Below is a relaxed HfPaAsP crystal, with properties calculated at the PBE level.

energy relative to the elements	-1.1060	eV per atom
DOS(E_F)	12.76	states/eV/cell

```
data_HfPaAsP
_symmetry_space_group_name_H-M 'R 3 m'
_symmetry_Int_Tables_number 160
_symmetry_space_group_name_Hall 'R 3 -2"'
_cell_length_a 3.7532
_cell_length_b 3.7532
_cell_length_c 20.6799
_cell_angle_alpha 90.00
_cell_angle_beta 90.00
_cell_angle_gamma 120.00
loop_
_atom_site_label
_atom_site_type_symbol
_atom_site_fract_x
_atom_site_fract_y
_atom_site_fract_z
Hf1 Hf 0.0000 0.0000 0.0000
Pa1 Pa 0.0000 0.0000 0.1796
As1 As 0.0000 0.0000 0.4159
P1 P 0.0000 0.0000 0.5974
```

***

(3)
Below is a relaxed HfAsPS2 crystal, with properties calculated at the PBE level.

DOS(E_F)	5.60	states/eV/cell
formation energy without anion corrections	2.9	kcal/mol of atoms
energy relative to the lowest polymorph listed for this composition	0	kJ/mol of formula units

```
data_HfAsPS2
_symmetry_space_group_name_H-M 'P 4/m m m'
_symmetry_Int_Tables_number 123
_symmetry_space_group_name_Hall '-P 4 2'
_cell_length_a 4.8225
_cell_length_b 4.8225
_cell_length_c 5.1831
_cell_angle_alpha 90.00
_cell_angle_beta 90.00
_cell_angle_gamma 90.00
loop_
_atom_site_label
_atom_site_type_symbol
_atom_site_fract_x
_atom_site_fract_y
_atom_site_fract_z
Hf1 Hf 0.0000 0.0000 0.0000
As1 As 0.5000 0.5000 0.5000
P1 P 0.0000 0.0000 0.5000
S1 S 0.0000 0.5000 0.0000
```